Computed, not measured: an optimized crystal structure of ReI at the PBE level of DFT.

- Crystal system: tetragonal
- SG: No. 136
- Calculated total energy: -5.500 eV/atom

a b c (Å): 7.2366 7.2366 4.6921
angles (deg): 90.00 90.00 90.00
With the nearest neighbours (Å) after each atom.
Atoms (fractional coordinates):
Re 0.1085 0.1085 0.0000  1 Re 2.22
Re 0.3915 0.6085 0.5000  1 Re 2.22
Re 0.6085 0.3915 0.5000  1 Re 2.22
Re 0.8915 0.8915 0.0000  1 Re 2.22
I 0.2470 0.2470 0.5000  4 Re 2.74-2.82
I 0.2530 0.7470 0.0000  4 Re 2.74-2.82
I 0.7470 0.2530 0.0000  4 Re 2.74-2.82
I 0.7530 0.7530 0.5000  4 Re 2.74-2.82